1.
An optimized crystal structure of Tl2Cu3F8, computed with PBE-GGA.

a b c (Å): 6.1579 6.0171 6.9493
angles (deg): 115.65 105.17 90.00
Closest atoms and distances in Å follow each position.
Fractional positions:
Tl 0.6652 0.7098 0.4195  4 F 2.60-2.87
Tl 0.3348 0.2902 0.5805  4 F 2.60-2.87
Cu 0.5000 0.0000 0.0000  4 F 1.92
Cu 0.0000 0.2498 0.0000  4 F 1.97-1.99
Cu 0.0000 0.7502 0.0000  4 F 1.97-1.99
F 0.0237 0.4023 0.8045  2 Cu 1.97
F 0.9763 0.5977 0.1955  2 Cu 1.97
F 0.0492 0.9058 0.8116  2 Cu 1.99
F 0.9508 0.0942 0.1884  2 Cu 1.99
F 0.3859 0.8583 0.1605  1 Cu 1.92
F 0.3859 0.3021 0.1605  1 Cu 1.92
F 0.6141 0.6979 0.8395  1 Cu 1.92
F 0.6141 0.1417 0.8395  1 Cu 1.92

Results
Crystal system: monoclinic
Uncorrected formation energy in eV/atom: -1.60
Fermi-level density of states in states/eV/f.u.: 5.9
Space-group type: C2/m

2.
An optimized crystal structure of Tl3CuF6, computed with PBE-GGA.

a b c (Å): 5.5702 8.2814 8.2814
angles (deg): 100.40 90.00 90.00
Closest atoms and distances in Å follow each position.
Fractional positions:
Tl 0.5014 0.9377 0.7068  4 F 2.68-2.84
Tl 0.0014 0.7068 0.9377  4 F 2.68-2.84
Tl 0.3939 0.4037 0.5963  7 F 2.22-2.34
Tl 0.8939 0.5963 0.4037  7 F 2.22-2.34
Tl 0.0014 0.0623 0.2932  4 F 2.68-2.84
Tl 0.5014 0.2932 0.0623  4 F 2.68-2.84
Cu 0.9409 0.1803 0.8197  2 F 1.84-1.85
Cu 0.4409 0.8197 0.1803  2 F 1.84-1.85
F 0.1650 0.6438 0.6131  2 Tl 2.28-2.34
F 0.6650 0.6131 0.6438  2 Tl 2.28-2.34
F 0.2362 0.4227 0.8457  1 Tl 2.22
F 0.7362 0.8457 0.4227  1 Tl 2.22
F 0.1388 0.0645 0.9355  1 Cu 1.84
F 0.7066 0.2829 0.7171  1 Cu 1.85
F 0.2066 0.7171 0.2829  1 Cu 1.85
F 0.6388 0.9355 0.0645  1 Cu 1.84
F 0.2362 0.1543 0.5773  1 Tl 2.22
F 0.7362 0.5773 0.1543  1 Tl 2.22
F 0.1650 0.3869 0.3562  2 Tl 2.28-2.34
F 0.6650 0.3562 0.3869  2 Tl 2.28-2.34

Results
Distance to the lowest polymorph of the same formula in eV/atom: 0.0000
Crystal system: orthorhombic
Uncorrected formation energy in eV/atom: -1.67
Fermi-level density of states in states/eV/f.u.: 0.2
Space-group type: Cmc2_1

3.
An optimized crystal structure of Tl2CuF, computed with PBE-GGA.

a b c (Å): 4.8527 4.8527 4.8527
angles (deg): 60.00 60.00 60.00
Closest atoms and distances in Å follow each position.
Fractional positions:
Tl 0.2500 0.2500 0.2500  4 Cu 2.97, 4 F 2.97
Tl 0.7500 0.7500 0.7500  4 Cu 2.97, 4 F 2.97
Cu 0.5000 0.5000 0.5000  8 Tl 2.97
F 0.0000 0.0000 0.0000  8 Tl 2.97

Results
Distance to the lowest polymorph of the same formula in eV/atom: 0.0000
Crystal system: cubic
Uncorrected formation energy in eV/atom: -0.49
Fermi-level density of states in states/eV/f.u.: 1.1
Space-group type: Fm-3m

4.
An optimized crystal structure of TlCuF2, computed with PBE-GGA.

a b c (Å): 4.9727 4.9727 7.0323
angles (deg): 69.29 69.29 90.00
Closest atoms and distances in Å follow each position.
Fractional positions:
Tl 0.0000 0.0000 0.0000  4 F 2.67
Tl 0.7500 0.2500 0.5000  4 F 2.67
Cu 0.5000 0.5000 0.0000  4 F 2.08
Cu 0.2500 0.7500 0.5000  4 F 2.08
F 0.5128 0.1250 0.2500  2 Cu 2.08
F 0.2372 0.6250 0.2500  2 Cu 2.08
F 0.3750 0.4872 0.7500  2 Cu 2.08
F 0.8750 0.7628 0.7500  2 Cu 2.08

Results
Distance to the lowest polymorph of the same formula in eV/atom: 0.1398
Crystal system: tetragonal
Uncorrected formation energy in eV/atom: -1.29
Fermi-level density of states in states/eV/f.u.: 0.0
Space-group type: I-42d

Among the records above, which one has the highest uncorrected formation energy? Tl2CuF

The highest Fermi-level density of states belongs to which entry? Tl2Cu3F8

Which of these has the highest uncorrected formation energy? Tl2CuF

Please write out number 4 again, unchanged.
An optimized crystal structure of TlCuF2, computed with PBE-GGA.

a b c (Å): 4.9727 4.9727 7.0323
angles (deg): 69.29 69.29 90.00
Closest atoms and distances in Å follow each position.
Fractional positions:
Tl 0.0000 0.0000 0.0000  4 F 2.67
Tl 0.7500 0.2500 0.5000  4 F 2.67
Cu 0.5000 0.5000 0.0000  4 F 2.08
Cu 0.2500 0.7500 0.5000  4 F 2.08
F 0.5128 0.1250 0.2500  2 Cu 2.08
F 0.2372 0.6250 0.2500  2 Cu 2.08
F 0.3750 0.4872 0.7500  2 Cu 2.08
F 0.8750 0.7628 0.7500  2 Cu 2.08

Results
Distance to the lowest polymorph of the same formula in eV/atom: 0.1398
Crystal system: tetragonal
Uncorrected formation energy in eV/atom: -1.29
Fermi-level density of states in states/eV/f.u.: 0.0
Space-group type: I-42d